[1]
Crystalline CsNbCoO4 at its relaxed geometry, computed with GGA+U.

The structure in CIF format:
```
data_CsNbCoO4
_chemical_formula_sum 'Cs2 Nb2 Co2 O8'
_symmetry_space_group_name_H-M 'P 1 21/m 1'
_symmetry_Int_Tables_number 11
_cell_length_a 5.5150
_cell_length_b 5.8137
_cell_length_c 9.6483
_cell_angle_alpha 90.00
_cell_angle_beta 92.48
_cell_angle_gamma 90.00
loop_
_symmetry_equiv_pos_as_xyz
'x,y,z'
'-x,-y,-z'
'-x,y+1/2,-z'
'x,-y+1/2,z'
loop_
_atom_site_label
_atom_site_type_symbol
_atom_site_fract_x
_atom_site_fract_y
_atom_site_fract_z
_atom_site_occupancy
Cs1 Cs 0.1597 0.2500 0.1725 1
Nb1 Nb 0.3243 0.2500 0.7030 1
Co1 Co 0.1148 0.7500 0.4738 1
O1 O 0.1559 0.5007 0.6151 1
O2 O 0.2629 0.2500 0.8862 1
O3 O 0.3375 0.7500 0.3205 1
```

Properties
The value obtained for the density of states at the Fermi level is 0.00 states/eV per cell. Its crystal system is monoclinic.

***

[2]
Crystalline V2SiF at its relaxed geometry, computed with GGA+U.

The structure in CIF format:
```
data_V2SiF
_chemical_formula_sum 'V8 Si4 F4'
_symmetry_space_group_name_H-M 'I -4 2 d'
_symmetry_Int_Tables_number 122
_symmetry_space_group_name_Hall 'I -4 2bw'
_cell_length_a 6.3185
_cell_length_b 6.3185
_cell_length_c 6.1996
_cell_angle_alpha 90.00
_cell_angle_beta 90.00
_cell_angle_gamma 90.00
loop_
_atom_site_label
_atom_site_type_symbol
_atom_site_fract_x
_atom_site_fract_y
_atom_site_fract_z
_atom_site_occupancy
V1 V 0.1810 0.7500 0.1250 1
Si1 Si 0.0000 0.0000 0.5000 1
F1 F 0.0000 0.0000 0.0000 1
```

Properties
The value obtained for the density of states at the Fermi level is 2.12 states/eV per cell. Its crystal system is tetragonal. As for the energy above the most stable polymorph in this dataset: 0.000 eV per atom.

***

Results for total DFT energy (no corrections): -7.070; -5.658 (in eV/atom, following the order of the records).